Entry 1:
The following is a DFT calculation (PBE) of a geometry-optimized PuThSb2 structure.

a b c (Å): 4.3730 4.3730 23.2925
angles (deg): 90.00 90.00 120.00
Last column: nearest neighbours and their distance in Å.
Space group R3m (No. 160, hexagonal axes)
Symmetry-distinct sites (fractional):
Pu1 0.0000 0.0000 0.0000 (multiplicity 3)  6 Sb 3.11-3.19
Th1 0.0000 0.0000 0.8295 (multiplicity 3)  6 Sb 3.20-3.24
Sb1 0.0000 0.0000 0.4115 (multiplicity 3)  3 Pu 3.11, 3 Th 3.20
Sb2 0.0000 0.0000 0.5832 (multiplicity 3)  3 Pu 3.19, 3 Th 3.24

* DOS at the Fermi energy: 13.07 states/eV/f.u.
* raw formation energy: -0.6854 eV per atom
* E above lowest polymorph: 119 meV/atom

***

Entry 2:
The following is a DFT calculation (PBE) of a geometry-optimized PuThSb2 structure.

a b c (Å): 4.4887 4.4887 21.8224
angles (deg): 90.00 90.00 120.00
Last column: nearest neighbours and their distance in Å.
Space group R-3m (No. 166, hexagonal axes)
Symmetry-distinct sites (fractional):
Pu1 0.0000 0.0000 0.0000 (multiplicity 3)  6 Sb 3.14
Th1 0.0000 0.0000 0.5000 (multiplicity 3)  6 Sb 3.19
Sb1 0.0000 0.0000 0.2518 (multiplicity 6)  3 Pu 3.14, 3 Th 3.19

* DOS at the Fermi energy: 13.24 states/eV/f.u.
* raw formation energy: -0.8044 eV per atom
* E above lowest polymorph: 0 meV/atom

***

Entry 3:
The following is a DFT calculation (PBE) of a geometry-optimized PuThSb2 structure.

a b c (Å): 4.3394 24.4445 4.6352
angles (deg): 90.00 90.00 90.00
Last column: nearest neighbours and their distance in Å.
Space group Cmcm (No. 63)
Symmetry-distinct sites (fractional):
Pu1 0.0000 0.0541 0.2500 (multiplicity 4)  7 Sb 3.17-3.44, 2 Pu 3.51
Th1 0.0000 0.3159 0.2500 (multiplicity 4)  6 Sb 3.15-3.22
Sb1 0.0000 0.1843 0.2500 (multiplicity 4)  5 Th 3.17-3.22, 1 Pu 3.18
Sb2 0.0000 0.4446 0.2500 (multiplicity 4)  1 Th 3.15, 6 Pu 3.17-3.44

* DOS at the Fermi energy: 11.48 states/eV/f.u.
* raw formation energy: -0.7508 eV per atom
* E above lowest polymorph: 54 meV/atom

***

Entry 4:
The following is a DFT calculation (PBE) of a geometry-optimized Pu5ThSb6 structure.

a b c (Å): 7.7053 13.3371 7.7058
angles (deg): 90.00 109.48 90.00
Last column: nearest neighbours and their distance in Å.
Space group C2/m (No. 12)
Symmetry-distinct sites (fractional):
Pu1 0.0000 0.0000 0.0000 (multiplicity 2)  6 Sb 3.13-3.15
Pu2 0.0000 0.1666 0.5000 (multiplicity 4)  6 Sb 3.14-3.15
Pu3 0.0000 0.3352 0.0000 (multiplicity 4)  6 Sb 3.13-3.15
Th1 0.0000 0.5000 0.5000 (multiplicity 2)  6 Sb 3.16-3.18
Sb1 0.2472 0.0000 0.7502 (multiplicity 4)  5 Pu 3.13-3.14, 1 Th 3.16
Sb2 0.2477 0.1689 0.2477 (multiplicity 8)  5 Pu 3.13-3.15, 1 Th 3.18

* DOS at the Fermi energy: 67.34 states/eV/f.u.
* raw formation energy: -0.6562 eV per atom

***

Entry 5:
The following is a DFT calculation (PBE) of a geometry-optimized PuTh3Sb4 structure.

a b c (Å): 7.7819 8.9879 7.7868
angles (deg): 90.00 109.50 90.00
Last column: nearest neighbours and their distance in Å.
Space group P2/c (No. 13)
Symmetry-distinct sites (fractional):
Pu1 0.0000 0.1247 0.2500 (multiplicity 2)  6 Sb 3.15-3.16
Th1 0.0000 0.3744 0.7500 (multiplicity 2)  6 Sb 3.17-3.18
Th2 0.5000 0.1243 0.7500 (multiplicity 2)  6 Sb 3.17-3.20
Th3 0.5000 0.3740 0.2500 (multiplicity 2)  6 Sb 3.18-3.20
Sb1 0.2463 0.1231 0.0002 (multiplicity 4)  2 Pu 3.15, 4 Th 3.17-3.20
Sb2 0.2486 0.3733 0.4982 (multiplicity 4)  1 Pu 3.16, 5 Th 3.18-3.20

* DOS at the Fermi energy: 17.30 states/eV/f.u.
* raw formation energy: -0.8621 eV per atom

***

Entry 6:
The following is a DFT calculation (PBE) of a geometry-optimized PuTh2Sb3 structure.

a b c (Å): 7.7779 13.4719 7.7735
angles (deg): 90.00 109.50 90.00
Last column: nearest neighbours and their distance in Å.
Space group C2/m (No. 12)
Symmetry-distinct sites (fractional):
Pu1 0.0000 0.1670 0.0000 (multiplicity 4)  6 Sb 3.15
Th1 0.0000 0.0000 0.5000 (multiplicity 2)  6 Sb 3.17-3.19
Th2 0.0000 0.3341 0.5000 (multiplicity 4)  6 Sb 3.18-3.20
Th3 0.0000 0.5000 0.0000 (multiplicity 2)  6 Sb 3.18
Sb1 0.2457 0.0000 0.2460 (multiplicity 4)  2 Pu 3.15, 4 Th 3.17-3.19
Sb2 0.2495 0.1680 0.7529 (multiplicity 8)  2 Pu 3.15, 4 Th 3.18-3.20

* DOS at the Fermi energy: 14.76 states/eV/f.u.
* raw formation energy: -0.8464 eV per atom

***

Entry 7:
The following is a DFT calculation (PBE) of a geometry-optimized PuTh12Sb6 structure.

a b c (Å): 13.3182 13.3182 12.3049
angles (deg): 90.00 90.00 120.00
Last column: nearest neighbours and their distance in Å.
Space group R-3 (No. 148, hexagonal axes)
Symmetry-distinct sites (fractional):
Pu1 0.0000 0.0000 0.0000 (multiplicity 3)  6 Th 2.57
Th1 0.0342 0.1944 0.3919 (multiplicity 18)  4 Sb 3.19-3.33
Th2 0.0577 0.1755 0.8754 (multiplicity 18)  1 Pu 2.57
Sb1 0.0392 0.4268 0.3101 (multiplicity 18)  7 Th 3.19-3.34

* DOS at the Fermi energy: 26.52 states/eV/f.u.
* raw formation energy: -0.2493 eV per atom

***

Entry 8:
The following is a DFT calculation (PBE) of a geometry-optimized PuThSb structure.

a b c (Å): 10.8911 11.2141 13.3416
angles (deg): 90.00 90.00 90.00
Last column: nearest neighbours and their distance in Å.
Space group Fddd (No. 70, origin choice 2)
Symmetry-distinct sites (fractional):
Pu1 0.1250 0.1250 0.3035 (multiplicity 16)  4 Sb 3.03, 2 Th 3.27
Th1 0.0000 0.0000 0.5000 (multiplicity 16)  2 Sb 3.17, 2 Pu 3.27
Sb1 0.1250 0.2924 0.1250 (multiplicity 16)  4 Pu 3.03, 2 Th 3.17

* DOS at the Fermi energy: 9.01 states/eV/f.u.
* raw formation energy: -0.0398 eV per atom

***

Entry 9:
The following is a DFT calculation (PBE) of a geometry-optimized PuThSb2 structure.

a b c (Å): 8.9467 17.9314 7.7368
angles (deg): 90.00 125.05 90.00
Last column: nearest neighbours and their distance in Å.
Space group C2/c (No. 15)
Symmetry-distinct sites (fractional):
Pu1 0.0000 0.0616 0.2500 (multiplicity 4)  6 Sb 3.14-3.16
Pu2 0.0000 0.3134 0.2500 (multiplicity 4)  6 Sb 3.15
Th1 0.0000 0.1882 0.7500 (multiplicity 4)  6 Sb 3.18-3.19
Th2 0.0000 0.4366 0.7500 (multiplicity 4)  6 Sb 3.18-3.19
Sb1 0.2470 0.1875 0.2535 (multiplicity 8)  3 Pu 3.15, 3 Th 3.19
Sb2 0.2484 0.0625 0.7465 (multiplicity 8)  3 Pu 3.14-3.16, 3 Th 3.18-3.19

* DOS at the Fermi energy: 13.36 states/eV/f.u.
* raw formation energy: -0.8025 eV per atom
* E above lowest polymorph: 2 meV/atom

***

Entry 10:
The following is a DFT calculation (PBE) of a geometry-optimized Pu2ThSb structure.

a b c (Å): 4.6933 4.6933 4.8599
angles (deg): 90.00 90.00 90.00
Last column: nearest neighbours and their distance in Å.
Space group P4/mmm (No. 123)
Symmetry-distinct sites (fractional):
Pu1 0.0000 0.5000 0.0000 (multiplicity 2)  4 Pu 3.32, 4 Th 3.38, 4 Sb 3.38
Th1 0.0000 0.0000 0.5000 (multiplicity 1)  4 Sb 3.32, 8 Pu 3.38
Sb1 0.5000 0.5000 0.5000 (multiplicity 1)  4 Th 3.32, 8 Pu 3.38

* DOS at the Fermi energy: 9.49 states/eV/f.u.
* raw formation energy: -0.3813 eV per atom
* E above lowest polymorph: 0 meV/atom

***

Entry 11:
The following is a DFT calculation (PBE) of a geometry-optimized Pu2ThSb3 structure.

a b c (Å): 4.4782 6.3191 13.3632
angles (deg): 90.00 90.00 90.00
Last column: nearest neighbours and their distance in Å.
Space group Immm (No. 71)
Symmetry-distinct sites (fractional):
Pu1 0.0000 0.0000 0.1657 (multiplicity 4)  6 Sb 3.14-3.16
Th1 0.0000 0.0000 0.5000 (multiplicity 2)  6 Sb 3.16-3.18
Sb1 0.0000 0.5000 0.1694 (multiplicity 4)  4 Pu 3.14-3.16, 2 Th 3.18
Sb2 0.0000 0.5000 0.5000 (multiplicity 2)  4 Pu 3.15, 2 Th 3.16

* DOS at the Fermi energy: 25.59 states/eV/f.u.
* raw formation energy: -0.7438 eV per atom
* E above lowest polymorph: 0 meV/atom

***

Entry 12:
The following is a DFT calculation (PBE) of a geometry-optimized PuTh2Sb3 structure.

a b c (Å): 4.4984 6.3508 13.4310
angles (deg): 90.00 90.00 90.00
Last column: nearest neighbours and their distance in Å.
Space group Immm (No. 71)
Symmetry-distinct sites (fractional):
Pu1 0.0000 0.0000 0.0000 (multiplicity 2)  6 Sb 3.15-3.18
Th1 0.0000 0.0000 0.3323 (multiplicity 4)  6 Sb 3.18-3.19
Sb1 0.0000 0.5000 0.0000 (multiplicity 2)  2 Pu 3.18, 4 Th 3.18
Sb2 0.0000 0.5000 0.3362 (multiplicity 4)  2 Pu 3.15, 4 Th 3.18-3.19

* DOS at the Fermi energy: 15.31 states/eV/f.u.
* raw formation energy: -0.8467 eV per atom

***

Entry 13:
The following is a DFT calculation (PBE) of a geometry-optimized PuThSb structure.

a b c (Å): 4.1341 4.1341 9.7478
angles (deg): 90.00 90.00 90.00
Last column: nearest neighbours and their distance in Å.
Space group I4mm (No. 107)
Symmetry-distinct sites (fractional):
Pu1 0.0000 0.0000 0.0000 (multiplicity 2)  1 Th 3.00, 4 Sb 3.27
Th1 0.0000 0.0000 0.3075 (multiplicity 2)  1 Pu 3.00, 5 Sb 3.30-3.33
Sb1 0.0000 0.0000 0.6496 (multiplicity 2)  5 Pu 3.27-3.42, 5 Th 3.30-3.33

* DOS at the Fermi energy: 7.51 states/eV/f.u.
* raw formation energy: -0.4677 eV per atom

***

Entry 14:
The following is a DFT calculation (PBE) of a geometry-optimized PuThSb structure.

a b c (Å): 5.2454 5.2454 3.5150
angles (deg): 90.00 90.00 120.00
Last column: nearest neighbours and their distance in Å.
Space group P3m1 (No. 156)
Symmetry-distinct sites (fractional):
Pu1 0.0000 0.0000 0.0000 (multiplicity 1)  3 Sb 3.14, 3 Th 3.32, 2 Pu 3.51
Th1 0.3333 0.6667 0.3837 (multiplicity 1)  3 Sb 3.30, 3 Pu 3.32, 2 Th 3.51
Sb1 0.6667 0.3333 0.7600 (multiplicity 1)  3 Pu 3.14, 3 Th 3.30, 2 Sb 3.51

* DOS at the Fermi energy: 6.68 states/eV/f.u.
* raw formation energy: -0.1959 eV per atom

***

Entry 15:
The following is a DFT calculation (PBE) of a geometry-optimized Tm2PuThSb4 structure.

a b c (Å): 7.6098 4.4201 7.6451
angles (deg): 90.00 109.59 90.00
Last column: nearest neighbours and their distance in Å.
Space group P2/m (No. 10)
Symmetry-distinct sites (fractional):
Tm1 0.0000 0.0000 0.0000 (multiplicity 1)  6 Sb 3.08-3.09
Tm2 0.0000 0.5000 0.5000 (multiplicity 1)  6 Sb 3.07
Pu1 0.5000 0.0000 0.5000 (multiplicity 1)  6 Sb 3.15
Th1 0.5000 0.5000 0.0000 (multiplicity 1)  6 Sb 3.16-3.17
Sb1 0.2393 0.0000 0.7446 (multiplicity 2)  3 Tm 3.07-3.08, 1 Pu 3.15, 2 Th 3.17
Sb2 0.2418 0.5000 0.2494 (multiplicity 2)  3 Tm 3.07-3.09, 2 Pu 3.15, 1 Th 3.16

* DOS at the Fermi energy: 16.30 states/eV/f.u.
* raw formation energy: -0.9288 eV per atom

***

Entry 16:
The following is a DFT calculation (PBE) of a geometry-optimized PuThU2Sb4 structure.

a b c (Å): 7.5728 4.3734 7.8418
angles (deg): 90.00 108.74 90.00
Last column: nearest neighbours and their distance in Å.
Space group P2/m (No. 10)
Symmetry-distinct sites (fractional):
Pu1 0.0000 0.0000 0.0000 (multiplicity 1)  6 Sb 3.15
Th1 0.0000 0.5000 0.5000 (multiplicity 1)  6 Sb 3.17
U1 0.5000 0.0000 0.5000 (multiplicity 1)  6 Sb 3.12
U2 0.5000 0.5000 0.0000 (multiplicity 1)  6 Sb 3.09-3.10
Sb1 0.2553 0.5000 0.2487 (multiplicity 2)  3 U 3.09-3.12, 2 Pu 3.15, 1 Th 3.17
Sb2 0.2571 0.0000 0.7548 (multiplicity 2)  3 U 3.10-3.12, 1 Pu 3.15, 2 Th 3.17

* DOS at the Fermi energy: 23.63 states/eV/f.u.
* raw formation energy: -0.4676 eV per atom

***

Entry 17:
The following is a DFT calculation (PBE) of a geometry-optimized Pu2ThUSb4 structure.

a b c (Å): 14.0625 6.2932 6.2935
angles (deg): 90.00 116.52 90.00
Last column: nearest neighbours and their distance in Å.
Space group Cm (No. 8)
Symmetry-distinct sites (fractional):
Pu1 0.0000 0.0000 0.0000 (multiplicity 2)  6 Sb 3.15-3.17
Pu2 0.2500 0.0000 0.7498 (multiplicity 2)  6 Sb 3.12-3.15
Th1 0.2500 0.5000 0.2501 (multiplicity 2)  6 Sb 3.15-3.17
U1 0.0000 0.5000 0.5002 (multiplicity 2)  6 Sb 3.12-3.15
Sb1 0.0016 0.0000 0.5016 (multiplicity 2)  3 Pu 3.13-3.15, 2 U 3.15, 1 Th 3.17
Sb2 0.2482 0.5000 0.7482 (multiplicity 2)  1 U 3.12, 2 Th 3.15, 3 Pu 3.15-3.17
Sb3 0.2518 0.0000 0.2517 (multiplicity 2)  1 U 3.12, 3 Pu 3.15-3.17, 2 Th 3.15
Sb4 0.4983 0.0000 0.9985 (multiplicity 2)  3 Pu 3.12-3.15, 2 U 3.15, 1 Th 3.17

* DOS at the Fermi energy: 32.70 states/eV/f.u.
* raw formation energy: -0.5956 eV per atom

***

Entry 18:
The following is a DFT calculation (PBE) of a geometry-optimized YPuTh2Sb5 structure.

a b c (Å): 5.2826 5.2826 11.5094
angles (deg): 90.00 90.00 90.00
Last column: nearest neighbours and their distance in Å.
Space group P4/mmm (No. 123)
Symmetry-distinct sites (fractional):
Y1 0.0000 0.0000 0.0000 (multiplicity 1)  6 Sb 2.64-2.88
Pu1 0.0000 0.0000 0.5000 (multiplicity 1)  2 Sb 2.87
Th1 0.5000 0.5000 0.1940 (multiplicity 2)  9 Sb 3.46-3.79
Sb1 0.0000 0.0000 0.2506 (multiplicity 2)  1 Pu 2.87, 1 Y 2.88
Sb2 0.0000 0.5000 0.0000 (multiplicity 2)  2 Y 2.64
Sb3 0.5000 0.5000 0.5000 (multiplicity 1)  2 Th 3.52, 4 Pu 3.74

* DOS at the Fermi energy: 20.20 states/eV/f.u.
* raw formation energy: -0.0875 eV per atom

***

Entry 19:
The following is a DFT calculation (PBE) of a geometry-optimized Pu2TiSb3 structure.

a b c (Å): 3.2771 5.5449 17.3047
angles (deg): 90.00 90.00 90.00
Last column: nearest neighbours and their distance in Å.
Space group Immm (No. 71)
Symmetry-distinct sites (fractional):
Pu1 0.0000 0.0000 0.1554 (multiplicity 4)  7 Sb 3.13-3.22, 2 Pu 3.28
Ti1 0.0000 0.0000 0.5000 (multiplicity 2)  4 Sb 2.77-2.83
Sb1 0.0000 0.0000 0.3363 (multiplicity 4)  1 Ti 2.83, 1 Pu 3.13
Sb2 0.0000 0.5000 0.5000 (multiplicity 2)  2 Ti 2.77

* DOS at the Fermi energy: 18.93 states/eV/f.u.
* raw formation energy: -0.3656 eV per atom

***

Entry 20:
The following is a DFT calculation (PBE) of a geometry-optimized PuTiSb2 structure.

a b c (Å): 3.4559 3.4559 7.7463
angles (deg): 90.00 90.00 90.00
Last column: nearest neighbours and their distance in Å.
Space group P4/mmm (No. 123)
Symmetry-distinct sites (fractional):
Pu1 0.0000 0.0000 0.0000 (multiplicity 1)  8 Sb 3.28, 4 Pu 3.46
Ti1 0.0000 0.0000 0.5000 (multiplicity 1)  8 Sb 2.97
Sb1 0.5000 0.5000 0.2828 (multiplicity 2)  4 Ti 2.97, 4 Pu 3.28

* DOS at the Fermi energy: 8.75 states/eV/f.u.
* raw formation energy: -0.3910 eV per atom
* E above lowest polymorph: 29 meV/atom